An optimized crystal structure of Nd4CdIn, computed with PBE.

```
data_Nd4CdIn
_chemical_formula_sum 'Nd8 Cd2 In2'
_cell_length_a 13.8306
_cell_length_b 3.7537
_cell_length_c 7.5183
_cell_angle_alpha 90.00
_cell_angle_beta 105.83
_cell_angle_gamma 90.00
_symmetry_space_group_name_H-M 'C 1 2/m 1'
_symmetry_Int_Tables_number 12
loop_
_symmetry_equiv_pos_as_xyz
'x,y,z'
'-x,-y,-z'
'-x,y,-z'
'x,-y,z'
'x+1/2,y+1/2,z'
'-x+1/2,-y+1/2,-z'
'-x+1/2,y+1/2,-z'
'x+1/2,-y+1/2,z'
loop_
_atom_site_label
_atom_site_fract_x
_atom_site_fract_y
_atom_site_fract_z
Nd1 0.1538 0.0000 0.3279
Nd2 0.1551 0.0000 0.8264
Cd1 0.0000 0.5000 0.5000
In1 0.0000 0.5000 0.0000
```

## Properties
* E_tot: -0.2962 Ry/atom
* magnetic moment: 0.00 μB per atom